(1)
Computed, not measured: crystalline Ba2IrPt at its relaxed geometry at the PBE level of DFT.

- Spin magnetization: 0.36 μB/f.u.
- E_form: 0.1793 eV per atom
- Calculated density: 10.60 g/cm3
- Space-group type: F-43m (216)

abc: 5.2734 5.2734 5.2734
angles: 60.00 60.00 60.00
With the nearest neighbours (Å) after each atom.
Fractional positions:
Ba (0.0000, 0.0000, 0.0000)  4 Pt 3.23, 4 Ba 3.23
Ba (0.2500, 0.2500, 0.2500)  4 Ba 3.23, 4 Ir 3.23
Ir (0.5000, 0.5000, 0.5000)  4 Pt 3.23, 4 Ba 3.23
Pt (0.7500, 0.7500, 0.7500)  4 Ba 3.23, 4 Ir 3.23

---

(2)
Computed, not measured: crystalline Na2AgGe4Pt3 at its relaxed geometry at the PBE level of DFT.

- Spin magnetization: 0.00 μB/f.u.
- E_form: -0.3512 eV per atom
- Calculated density: 8.68 g/cm3
- Space-group type: P-4m2 (115)

abc: 4.3818 4.3818 10.2574
angles: 90.00 90.00 90.00
With the nearest neighbours (Å) after each atom.
Fractional positions:
Na (0.0000, 0.5000, 0.2487)  8 Ge 3.32-3.38, 6 Pt 3.36, 2 Ag 3.36
Na (0.5000, 0.0000, 0.7513)  8 Ge 3.32-3.38, 6 Pt 3.36, 2 Ag 3.36
Ag (0.5000, 0.5000, 0.0000)  4 Ge 2.59
Ge (0.0000, 0.0000, 0.5000)  4 Pt 2.54
Ge (0.0000, 0.5000, 0.8662)  3 Pt 2.47-2.59, 2 Ag 2.59
Ge (0.5000, 0.0000, 0.1338)  3 Pt 2.47-2.59, 2 Ag 2.59
Ge (0.5000, 0.5000, 0.5000)  4 Pt 2.54
Pt (0.0000, 0.0000, 0.0000)  4 Ge 2.59
Pt (0.0000, 0.5000, 0.6257)  5 Ge 2.47-2.54
Pt (0.5000, 0.0000, 0.3743)  5 Ge 2.47-2.54

---

(3)
Computed, not measured: crystalline Ge2SO at its relaxed geometry at the PBE level of DFT.

- E above lowest polymorph: 461 meV/atom
- Spin magnetization: 0.00 μB/f.u.
- Calculated density: 5.20 g/cm3
- Uncorrected formation energy: 0.06 eV/atom
- Space-group type: Fm-3m (225)

abc: 4.4354 4.4354 4.4354
angles: 60.00 60.00 60.00
With the nearest neighbours (Å) after each atom.
Fractional positions:
Ge (0.2500, 0.2500, 0.2500)  4 O 2.72, 4 S 2.72
Ge (0.7500, 0.7500, 0.7500)  4 O 2.72, 4 S 2.72
S (0.0000, 0.0000, 0.0000)  8 Ge 2.72
O (0.5000, 0.5000, 0.5000)  8 Ge 2.72

---

(4)
Computed, not measured: crystalline Pr5Er2In at its relaxed geometry at the PBE level of DFT.

- Spin magnetization: 0.00 μB/f.u.
- E_form: -0.0255 eV per atom
- Calculated density: 7.30 g/cm3
- Space-group type: Immm (71)

abc: 8.8772 8.8772 8.8772
angles: 157.27 100.10 84.39
With the nearest neighbours (Å) after each atom.
Fractional positions:
Pr (0.0000, 0.0000, 0.0000)  10 Pr 3.50-3.64, 2 Er 3.55
Pr (0.1071, 0.3705, 0.7365)  1 Er 3.28, 7 Pr 3.41-3.64
Pr (0.3660, 0.6295, 0.7365)  1 Er 3.28, 7 Pr 3.41-3.64
Pr (0.6340, 0.3705, 0.2635)  1 Er 3.28, 7 Pr 3.41-3.64
Pr (0.8929, 0.6295, 0.2635)  1 Er 3.28, 7 Pr 3.41-3.64
Er (0.2699, 0.2699, 0.0000)  3 Pr 3.28-3.55, 2 In 3.50, 2 Er 3.50
Er (0.7301, 0.7301, 0.0000)  3 Pr 3.28-3.55, 2 In 3.50, 2 Er 3.50
In (0.5000, 0.0000, 0.5000)  4 Er 3.50, 2 In 3.50, 8 Pr 3.87

---

| no. | DFT total energy (eV/atom) |
| --- | --- |
| 1 | -4.507 |
| 2 | -4.559 |
| 3 | -4.521 |
| 4 | -4.496 |